(1)
# Ti6In5Ag

Ti6In5Ag after structural relaxation (GGA-PBE, Alexandria).

Structure (POSCAR):
```
Ti6In5Ag
1.0
2.105 -6.298 0.000
2.105 6.298 0.000
0.000 0.000 8.525
Ti In Ag
6 5 1
direct
0.000 0.000 0.250
0.000 0.000 0.750
0.333 0.667 0.247
0.333 0.667 0.753
0.667 0.333 0.247
0.667 0.333 0.753
0.161 0.839 0.000
0.167 0.833 0.500
0.500 0.500 0.500
0.833 0.167 0.500
0.839 0.161 0.000
0.500 0.500 0.000
```

Calculated values
- D(E_F): 14.4 states/eV per cell
- Electronic total energy: -5.441 eV per atom
- Size of the total moment: 0.00 μB per cell
- Energy of formation from the pure elements: -0.115 eV/atom

***

(2)
# Ti2In2Ag

Ti2In2Ag after structural relaxation (GGA-PBE, Alexandria).

Structure (POSCAR):
```
Ti2In2Ag
1.0
7.092 0.000 0.000
0.000 7.092 0.000
0.000 0.000 4.020
Ti In Ag
4 4 2
direct
0.157 0.343 0.000
0.343 0.843 0.000
0.657 0.157 0.000
0.843 0.657 0.000
0.143 0.643 0.500
0.357 0.143 0.500
0.643 0.857 0.500
0.857 0.357 0.500
0.000 0.000 0.500
0.500 0.500 0.500
```

Calculated values
- D(E_F): 10.5 states/eV per cell
- Electronic total energy: -4.707 eV per atom
- Size of the total moment: 0.00 μB per cell
- Energy of formation from the pure elements: 0.117 eV/atom

***

(3)
# TiIn2Ag

TiIn2Ag after structural relaxation (GGA-PBE, Alexandria).

Structure (POSCAR):
```
TiIn2Ag
1.0
4.378 0.000 0.000
0.000 4.378 0.000
0.000 0.000 4.111
Ti In Ag
1 2 1
direct
0.000 0.000 0.000
0.000 0.500 0.500
0.500 0.000 0.500
0.500 0.500 0.000
```

Calculated values
- D(E_F): 2.3 states/eV per cell
- Electronic total energy: -4.141 eV per atom
- Size of the total moment: 0.00 μB per cell
- Energy of formation from the pure elements: -0.085 eV/atom

***

(4)
# TiIn2Ag

TiIn2Ag after structural relaxation (GGA-PBE, Alexandria).

Structure (POSCAR):
```
TiIn2Ag
1.0
0.000 3.436 3.436
3.436 0.000 3.436
3.436 3.436 0.000
Ti In Ag
1 2 1
direct
0.000 0.000 0.000
0.250 0.250 0.250
0.750 0.750 0.750
0.500 0.500 0.500
```

Calculated values
- D(E_F): 3.8 states/eV per cell
- Electronic total energy: -3.965 eV per atom
- Size of the total moment: 1.12 μB per cell
- Energy of formation from the pure elements: 0.091 eV/atom